A relaxed structure of AcHg2W3O12, computed with PBE+U.

Cell and atoms, written as POSCAR:
```
AcHg2W3O12
1.0
3.771 2.177 6.506
-3.771 2.177 6.506
0.000 -4.354 6.506
Ac Hg W O
1 2 3 12
Direct
0.000 0.000 0.000
0.311 0.311 0.311
0.689 0.689 0.689
0.000 0.000 0.500
0.000 0.500 0.000
0.500 0.000 0.000
0.073 0.716 0.716
0.100 0.100 0.598
0.100 0.598 0.100
0.284 0.284 0.927
0.284 0.927 0.284
0.402 0.900 0.900
0.598 0.100 0.100
0.716 0.073 0.716
0.716 0.716 0.073
0.900 0.402 0.900
0.900 0.900 0.402
0.927 0.284 0.284
```

Values from the calculation:
Its space group is R-3m, No. 166. Its spin magnetization is 0.000 μB/atom. As for the total energy: -118.025 eV/cell.